(1)
Re8W: relaxed, PBE.

Properties
E_form in eV/atom: 0.077
Uncorrected energy in eV per cell: -111.8

a = 6.224 Å, b = 6.224 Å, c = 6.224 Å
α = 95.66°, β = 95.66°, γ = 143.40°
Sites, in units of the cell vectors:
Re 0.000 0.337 0.337
Re 0.000 0.663 0.663
Re 0.330 0.330 0.660
Re 0.330 0.670 0.000
Re 0.337 0.000 0.337
Re 0.663 0.000 0.663
Re 0.670 0.330 0.000
Re 0.670 0.670 0.340
W 0.000 0.000 0.000

(2)
Lu2CdGe: relaxed, PBE.

Properties
E_form in eV/atom: -0.449
Uncorrected energy in eV per cell: -16.4

a = 3.643 Å, b = 3.643 Å, c = 6.920 Å
α = 90.00°, β = 90.00°, γ = 90.00°
Sites, in units of the cell vectors:
Lu 0.000 0.000 0.234
Lu 0.000 0.000 0.766
Cd 0.500 0.500 0.500
Ge 0.500 0.500 0.000

(3)
Ba3Li2Cd: relaxed, PBE.

Properties
E_form in eV/atom: -0.086
Uncorrected energy in eV per cell: -11.0

a = 4.327 Å, b = 4.327 Å, c = 13.277 Å
α = 90.00°, β = 90.00°, γ = 90.00°
Sites, in units of the cell vectors:
Ba 0.000 0.000 0.000
Ba 0.000 0.000 0.345
Ba 0.000 0.000 0.655
Li 0.500 0.500 0.171
Li 0.500 0.500 0.829
Cd 0.500 0.500 0.500

(4)
TbGaPb2: relaxed, PBE.

Properties
E_form in eV/atom: -0.320
Uncorrected energy in eV per cell: -16.4

a = 4.664 Å, b = 4.664 Å, c = 4.822 Å
α = 90.00°, β = 90.00°, γ = 90.00°
Sites, in units of the cell vectors:
Tb 0.000 0.000 0.000
Ga 0.500 0.500 0.000
Pb 0.000 0.500 0.500
Pb 0.500 0.000 0.500

(5)
Rb3HCl6: relaxed, PBE.

Properties
Uncorrected energy in eV per cell: -27.3

a = 7.489 Å, b = 7.489 Å, c = 7.489 Å
α = 111.63°, β = 111.63°, γ = 105.24°
Sites, in units of the cell vectors:
Rb 0.000 0.000 0.000
Rb 0.250 0.750 0.500
Rb 0.750 0.250 0.500
H 0.500 0.500 0.000
Cl 0.257 0.257 0.514
Cl 0.257 0.743 0.000
Cl 0.332 0.332 0.000
Cl 0.668 0.668 0.000
Cl 0.743 0.257 0.000
Cl 0.743 0.743 0.486

(6)
SbSe2BrF: relaxed, PBE.

Properties
Formation energy without anion corrections in kJ/mol of atoms: 16
Uncorrected energy in eV per cell: -13.8

a = 4.449 Å, b = 4.449 Å, c = 5.702 Å
α = 90.00°, β = 90.00°, γ = 90.00°
Sites, in units of the cell vectors:
Sb 0.000 0.000 0.000
Se 0.000 0.500 0.500
Se 0.500 0.000 0.500
Br 0.500 0.500 0.000
F 0.500 0.500 0.500

(7)
ThMg2Hg: relaxed, PBE.

Properties
E_form in eV/atom: -0.106
Uncorrected energy in eV per cell: -11.3

a = 3.429 Å, b = 3.429 Å, c = 8.425 Å
α = 90.00°, β = 90.00°, γ = 90.00°
Sites, in units of the cell vectors:
Th 0.000 0.000 0.000
Mg 0.500 0.500 0.293
Mg 0.500 0.500 0.707
Hg 0.000 0.000 0.500

(8)
Ce5Sn2Hg2: relaxed, PBE.

Properties
E_form in eV/atom: -0.330
Uncorrected energy in eV per cell: -82.5

a = 10.876 Å, b = 10.876 Å, c = 10.876 Å
α = 61.07°, β = 150.64°, γ = 127.75°
Sites, in units of the cell vectors:
Ce 0.056 0.072 0.128
Ce 0.056 0.428 0.483
Ce 0.330 0.581 0.249
Ce 0.332 0.081 0.751
Ce 0.660 0.842 0.174
Ce 0.660 0.986 0.318
Ce 0.668 0.342 0.682
Ce 0.668 0.486 0.826
Ce 0.944 0.572 0.517
Ce 0.944 0.928 0.872
Sn 0.003 0.248 0.255
Sn 0.681 0.181 0.500
Sn 0.681 0.681 0.000
Sn 0.993 0.748 0.745
Hg 0.277 0.415 0.026
Hg 0.277 0.751 0.362
Hg 0.389 0.251 0.974
Hg 0.389 0.915 0.638